--- A ---
Material: LaHoHg
Method: DFT, PBE
State: relaxed

Lattice parameters (Å, degrees): 6.981 6.981 6.981 148.98 148.98 44.44
Element x y z (fractional)
La1 0.000 0.000 0.000
Ho1 0.695 0.695 0.000
Hg1 0.327 0.327 0.000

Calculated values
As for the crystal system: tetragonal.

=====

--- B ---
Material: LaHoHg
Method: DFT, PBE
State: relaxed

Lattice parameters (Å, degrees): 5.185 5.185 3.962 90.00 90.00 120.00
Element x y z (fractional)
La1 0.000 0.000 0.000
Ho1 0.333 0.667 0.501
Hg1 0.667 0.333 0.498

Calculated values
As for the crystal system: trigonal.

=====

--- C ---
Material: LaHoHg
Method: DFT, PBE
State: relaxed

Lattice parameters (Å, degrees): 8.405 4.953 8.825 90.00 90.00 90.00
Element x y z (fractional)
La1 0.027 0.250 0.162
La2 0.473 0.750 0.662
La3 0.527 0.250 0.338
La4 0.973 0.750 0.838
Ho1 0.142 0.250 0.575
Ho2 0.358 0.750 0.075
Ho3 0.642 0.250 0.925
Ho4 0.858 0.750 0.425
Hg1 0.218 0.750 0.385
Hg2 0.282 0.250 0.885
Hg3 0.718 0.750 0.115
Hg4 0.782 0.250 0.615

Calculated values
As for the crystal system: orthorhombic.

=====

--- D ---
Material: LaHoHg
Method: DFT, PBE
State: relaxed

Lattice parameters (Å, degrees): 4.911 4.911 7.772 90.00 90.00 90.00
Element x y z (fractional)
La1 0.250 0.250 0.133
La2 0.750 0.750 0.867
Ho1 0.250 0.750 0.500
Ho2 0.750 0.250 0.500
Hg1 0.250 0.250 0.739
Hg2 0.750 0.750 0.261

Calculated values
As for the crystal system: tetragonal.

=====

Energy comparison, zero being the most stable, in meV/atom: A 23; B 112; C 0; D 9.

=====

--- A ---
Material: LaHo2Hg2
Method: DFT, PBE
State: relaxed

Lattice parameters (Å, degrees): 5.273 5.273 6.394 90.00 90.00 120.00
Element x y z (fractional)
La1 0.000 0.000 0.000
Ho1 0.333 0.667 0.658
Ho2 0.667 0.333 0.342
Hg1 0.333 0.667 0.188
Hg2 0.667 0.333 0.812

Calculated values
As for the crystal system: trigonal.

=====

--- B ---
Material: LaHo2Hg2
Method: DFT, PBE
State: relaxed

Lattice parameters (Å, degrees): 3.752 5.445 13.957 90.00 97.71 90.00
Element x y z (fractional)
La1 0.147 0.250 0.292
La2 0.853 0.750 0.708
Ho1 0.049 0.750 0.097
Ho2 0.236 0.750 0.473
Ho3 0.764 0.250 0.527
Ho4 0.951 0.250 0.903
Hg1 0.355 0.250 0.711
Hg2 0.457 0.750 0.913
Hg3 0.543 0.250 0.087
Hg4 0.645 0.750 0.289

Calculated values
As for the crystal system: monoclinic.

=====

Energy comparison, zero being the most stable, in meV/atom: A 151; B 0.